The following is a GGA-PBE calculation of an optimized crystal structure of K2BaF, from the Alexandria database.

POSCAR file:
```
K2BaF
1.0
-1.8719 -5.8592 2.6417
1.3129 -1.3469 6.4245
-4.9867 -0.2198 4.4606
K Ba F
2 1 1
direct
0.7500 0.7500 0.7500 K
0.2500 0.2500 0.2500 K
0.5000 0.5000 0.5000 Ba
0.0000 0.0000 0.0000 F
```

**Formation energy (no corrections)**: -39.05 kJ per mole of atoms
**Space-group type**: No. 225
**Total moment**: 0.9 μB/f.u.
**Total DFT energy (no corrections)**: -1.90 eV per atom